1.
MgBePdO4: optimized geometry, PBE. Values from VASP.

Computed properties:
**Final energy**: -5.9582 eV/atom
**Density of states at the Fermi level**: 0.0 states/eV per cell
**ΔE_f (raw)**: -1.6230 eV per atom
**Symmetry**: Imma

```
&SYSTEM
  ibrav = 0, nat = 14, ntyp = 4
/
ATOMIC_SPECIES
O 16.00 O.upf
Pd 106.42 Pd.upf
Mg 24.30 Mg.upf
Be 9.01 Be.upf
ATOMIC_POSITIONS crystal
O 0.750 0.746 0.755
O 0.247 0.256 0.756
Pd 0.000 0.500 0.500
Mg 0.000 0.000 0.500
O 0.258 0.744 0.244
O 0.250 0.745 0.754
O 0.742 0.256 0.756
O 0.250 0.254 0.245
Mg 0.500 0.000 0.500
Pd 0.000 0.000 0.000
O 0.753 0.744 0.244
Be 0.653 0.597 0.097
O 0.750 0.255 0.246
Be 0.347 0.403 0.903
CELL_PARAMETERS angstrom
-0.289 4.256 -3.846
-2.804 -0.816 -4.982
-5.026 2.681 -0.945
```


2.
PuMgBeO5: optimized geometry, PBE. Values from VASP.

Computed properties:
**Final energy**: -8.0489 eV/atom
**Density of states at the Fermi level**: 9.5 states/eV per cell
**ΔE_f (raw)**: -2.4934 eV per atom
**Symmetry**: C2/c

```
&SYSTEM
  ibrav = 0, nat = 16, ntyp = 4
/
ATOMIC_SPECIES
Pu 244.00 Pu.upf
O 16.00 O.upf
Mg 24.30 Mg.upf
Be 9.01 Be.upf
ATOMIC_POSITIONS crystal
Pu 0.000 0.000 0.000
O 0.274 0.397 0.588
O 0.117 0.883 0.250
Mg 0.642 0.358 0.750
O 0.668 0.059 0.341
Be 0.311 0.689 0.750
Pu 0.000 0.000 0.500
O 0.059 0.668 0.841
Mg 0.358 0.642 0.250
O 0.332 0.941 0.659
Be 0.689 0.311 0.250
O 0.397 0.274 0.088
O 0.603 0.726 0.912
O 0.726 0.603 0.412
O 0.883 0.117 0.750
O 0.941 0.332 0.159
CELL_PARAMETERS angstrom
-3.764 2.298 -2.993
-1.254 -5.176 0.218
-1.352 2.573 7.047
```


3.
PuMgBe2O6: optimized geometry, PBE. Values from VASP.

Computed properties:
**Final energy**: -7.8596 eV/atom
**Density of states at the Fermi level**: 6.1 states/eV per cell
**ΔE_f (raw)**: -2.5468 eV per atom
**Symmetry**: C2/c

```
&SYSTEM
  ibrav = 0, nat = 20, ntyp = 4
/
ATOMIC_SPECIES
Be 9.01 Be.upf
O 16.00 O.upf
Mg 24.30 Mg.upf
Pu 244.00 Pu.upf
ATOMIC_POSITIONS crystal
Be 0.168 0.355 0.222
O 0.325 0.209 0.026
Be 0.668 0.222 0.355
O 0.675 0.791 0.974
O 0.332 0.292 0.394
O 0.825 0.026 0.209
O 0.145 0.622 0.166
Mg 0.750 0.088 0.912
O 0.832 0.394 0.292
O 0.355 0.834 0.378
Mg 0.250 0.912 0.088
Pu 0.250 0.278 0.722
O 0.168 0.606 0.708
O 0.175 0.974 0.791
O 0.855 0.378 0.834
O 0.668 0.708 0.606
Be 0.832 0.645 0.778
O 0.645 0.166 0.622
Be 0.332 0.778 0.645
Pu 0.750 0.722 0.278
CELL_PARAMETERS angstrom
5.363 0.174 0.181
1.933 6.527 0.322
1.933 0.080 6.534
```


4.
MgBeSi2O6: optimized geometry, PBE. Values from VASP.

Computed properties:
**Final energy**: -7.3671 eV/atom
**Density of states at the Fermi level**: 0.0 states/eV per cell
**ΔE_f (raw)**: -2.7755 eV per atom
**Symmetry**: C2/c

```
&SYSTEM
  ibrav = 0, nat = 20, ntyp = 4
/
ATOMIC_SPECIES
O 16.00 O.upf
Si 28.09 Si.upf
Be 9.01 Be.upf
Mg 24.30 Mg.upf
ATOMIC_POSITIONS crystal
O 0.171 0.974 0.789
O 0.051 0.686 0.611
O 0.949 0.314 0.389
O 0.449 0.389 0.314
O 0.064 0.635 0.161
Si 0.811 0.606 0.782
Be 0.750 0.802 0.198
Si 0.689 0.218 0.394
O 0.436 0.839 0.365
O 0.829 0.026 0.211
Be 0.250 0.198 0.802
O 0.564 0.161 0.635
Mg 0.250 0.883 0.117
O 0.329 0.211 0.026
Si 0.311 0.782 0.606
Mg 0.750 0.117 0.883
O 0.671 0.789 0.974
O 0.936 0.365 0.839
Si 0.189 0.394 0.218
O 0.551 0.611 0.686
CELL_PARAMETERS angstrom
-1.895 0.164 -4.844
-4.665 -4.734 -0.369
-4.928 4.474 0.046
```


5.
Mg2Be2SnO6: optimized geometry, PBE. Values from VASP.

Computed properties:
**Final energy**: -6.2376 eV/atom
**Density of states at the Fermi level**: 0.0 states/eV per cell
**ΔE_f (raw)**: -2.2019 eV per atom
**Symmetry**: P-3

```
&SYSTEM
  ibrav = 0, nat = 11, ntyp = 4
/
ATOMIC_SPECIES
O 16.00 O.upf
Sn 118.71 Sn.upf
Be 9.01 Be.upf
Mg 24.30 Mg.upf
ATOMIC_POSITIONS crystal
O 0.036 0.671 0.769
O 0.964 0.329 0.231
Sn 0.000 0.000 0.000
O 0.635 0.964 0.769
Be 0.667 0.333 0.136
Mg 0.667 0.333 0.589
O 0.329 0.365 0.769
O 0.365 0.036 0.231
O 0.671 0.635 0.231
Be 0.333 0.667 0.864
Mg 0.333 0.667 0.411
CELL_PARAMETERS angstrom
-1.522 4.682 -0.975
-3.377 -3.664 0.593
-0.187 0.988 5.035
```


6.
Sr3MgBe2O6: optimized geometry, PBE. Values from VASP.

Computed properties:
**Final energy**: -6.2745 eV/atom
**Density of states at the Fermi level**: 0.0 states/eV per cell
**ΔE_f (raw)**: -2.6210 eV per atom
**Symmetry**: P-3m1

```
&SYSTEM
  ibrav = 0, nat = 12, ntyp = 4
/
ATOMIC_SPECIES
O 16.00 O.upf
Be 9.01 Be.upf
Sr 87.62 Sr.upf
Mg 24.30 Mg.upf
ATOMIC_POSITIONS crystal
O 0.825 0.651 0.709
Be 0.667 0.333 0.740
O 0.349 0.175 0.709
O 0.651 0.825 0.291
Sr 0.333 0.667 0.671
Sr 0.667 0.333 0.329
Sr 0.000 0.000 0.000
O 0.175 0.349 0.291
Mg 0.000 0.000 0.500
O 0.825 0.175 0.709
O 0.175 0.825 0.291
Be 0.333 0.667 0.260
CELL_PARAMETERS angstrom
5.533 0.000 0.000
-2.767 4.792 0.000
0.000 0.000 6.352
```


7.
Mg2BeTcO6: optimized geometry, PBE. Values from VASP.

Computed properties:
**Final energy**: -6.4755 eV/atom
**Density of states at the Fermi level**: 1.4 states/eV per cell
**ΔE_f (raw)**: -1.7724 eV per atom
**Symmetry**: P4mm

```
&SYSTEM
  ibrav = 0, nat = 10, ntyp = 4
/
ATOMIC_SPECIES
Tc 98.00 Tc.upf
Mg 24.30 Mg.upf
O 16.00 O.upf
Be 9.01 Be.upf
ATOMIC_POSITIONS crystal
Tc 0.580 0.500 0.500
Mg 0.967 0.000 0.500
O 0.732 0.249 0.751
O 0.732 0.249 0.249
O 0.211 0.500 0.500
O 0.732 0.751 0.249
Mg 0.967 0.500 0.000
O 0.732 0.751 0.751
Be 0.558 0.000 0.000
O 0.237 0.000 0.000
CELL_PARAMETERS angstrom
-3.391 2.579 -2.062
-2.817 -0.485 4.025
1.982 4.111 1.883
```


8.
MgBeTe2O6: optimized geometry, PBE. Values from VASP.

Computed properties:
**Final energy**: -5.6760 eV/atom
**Density of states at the Fermi level**: 0.0 states/eV per cell
**ΔE_f (raw)**: -1.5406 eV per atom
**Symmetry**: C2/c

```
&SYSTEM
  ibrav = 0, nat = 20, ntyp = 4
/
ATOMIC_SPECIES
O 16.00 O.upf
Te 127.60 Te.upf
Be 9.01 Be.upf
Mg 24.30 Mg.upf
ATOMIC_POSITIONS crystal
O 0.871 0.405 0.292
O 0.054 0.686 0.152
O 0.129 0.595 0.708
O 0.554 0.152 0.686
O 0.371 0.292 0.405
O 0.830 0.030 0.182
O 0.670 0.818 0.970
Te 0.755 0.576 0.819
O 0.170 0.970 0.818
Te 0.255 0.819 0.576
O 0.446 0.848 0.314
Te 0.745 0.181 0.424
Be 0.250 0.174 0.826
Be 0.750 0.826 0.174
Mg 0.250 0.907 0.093
O 0.330 0.182 0.030
Te 0.245 0.424 0.181
Mg 0.750 0.093 0.907
O 0.629 0.708 0.595
O 0.946 0.314 0.848
CELL_PARAMETERS angstrom
5.064 0.092 0.095
1.656 7.368 -0.063
1.656 -0.337 7.361
```


9.
MgBe2TeO6: optimized geometry, PBE. Values from VASP.

Computed properties:
**Final energy**: -6.2156 eV/atom
**Density of states at the Fermi level**: 0.0 states/eV per cell
**ΔE_f (raw)**: -2.0218 eV per atom
**Symmetry**: C2/c

```
&SYSTEM
  ibrav = 0, nat = 20, ntyp = 4
/
ATOMIC_SPECIES
O 16.00 O.upf
Be 9.01 Be.upf
Te 127.60 Te.upf
Mg 24.30 Mg.upf
ATOMIC_POSITIONS crystal
O 0.816 0.019 0.216
Be 0.658 0.222 0.372
O 0.316 0.216 0.019
O 0.371 0.830 0.370
O 0.871 0.370 0.830
Te 0.750 0.724 0.276
O 0.629 0.170 0.630
O 0.680 0.715 0.592
Be 0.342 0.778 0.628
Mg 0.250 0.902 0.098
Be 0.158 0.372 0.222
O 0.684 0.784 0.981
O 0.129 0.630 0.170
Te 0.250 0.276 0.724
O 0.820 0.408 0.285
Be 0.842 0.628 0.778
Mg 0.750 0.098 0.902
O 0.180 0.592 0.715
O 0.184 0.981 0.784
O 0.320 0.285 0.408
CELL_PARAMETERS angstrom
-5.039 0.049 2.122
-2.709 -5.780 -1.237
0.354 -2.572 5.962
```


10.
MgTiBe2O: optimized geometry, PBE. Values from VASP.

Computed properties:
**Final energy**: -3.8530 eV/atom
**Density of states at the Fermi level**: 4.3 states/eV per cell
**ΔE_f (raw)**: 0.5270 eV per atom
**Symmetry**: P4/mmm

```
&SYSTEM
  ibrav = 0, nat = 5, ntyp = 4
/
ATOMIC_SPECIES
Be 9.01 Be.upf
Ti 47.87 Ti.upf
Mg 24.30 Mg.upf
O 16.00 O.upf
ATOMIC_POSITIONS crystal
Be 0.000 0.000 0.500
Ti 0.500 0.500 0.500
Mg 0.000 0.000 0.000
O 0.000 0.500 0.000
Be 0.500 0.000 0.000
CELL_PARAMETERS angstrom
-1.750 -3.237 -2.732
2.822 -2.073 0.649
-2.180 -1.846 3.584
```


11.
Mg2UBeO6: optimized geometry, PBE. Values from VASP.

Computed properties:
**Final energy**: -7.1228 eV/atom
**ΔE_f (raw)**: -2.3275 eV per atom
**Symmetry**: P4mm

```
&SYSTEM
  ibrav = 0, nat = 10, ntyp = 4
/
ATOMIC_SPECIES
O 16.00 O.upf
U 238.03 U.upf
Mg 24.30 Mg.upf
Be 9.01 Be.upf
ATOMIC_POSITIONS crystal
O 0.724 0.765 0.765
O 0.724 0.235 0.235
O 0.724 0.235 0.765
U 0.622 0.500 0.500
O 0.148 0.500 0.500
O 0.239 0.000 0.000
Mg 0.983 0.000 0.500
Mg 0.983 0.500 0.000
Be 0.576 0.000 0.000
O 0.724 0.765 0.235
CELL_PARAMETERS angstrom
4.591 0.000 0.000
0.000 5.195 0.000
0.000 0.000 5.195
```


12.
YMgBeO2: optimized geometry, PBE. Values from VASP.

Computed properties:
**Final energy**: -4.4463 eV/atom
**Density of states at the Fermi level**: 2.6 states/eV per cell
**ΔE_f (raw)**: -0.1061 eV per atom
**Symmetry**: P4/mmm

```
&SYSTEM
  ibrav = 0, nat = 5, ntyp = 4
/
ATOMIC_SPECIES
Mg 24.30 Mg.upf
Be 9.01 Be.upf
Y 88.91 Y.upf
O 16.00 O.upf
ATOMIC_POSITIONS crystal
Mg 0.000 0.000 0.000
Be 0.500 0.500 0.500
Y 0.000 0.500 0.000
O 0.000 0.000 0.500
O 0.500 0.000 0.000
CELL_PARAMETERS angstrom
3.909 0.000 0.000
0.000 5.602 0.000
0.000 0.000 3.909
```


13.
MgBe2ZnO4: optimized geometry, PBE. Values from VASP.

Computed properties:
**Final energy**: -6.0406 eV/atom
**Density of states at the Fermi level**: 0.0 states/eV per cell
**ΔE_f (raw)**: -2.2713 eV per atom
**Symmetry**: I-42m

```
&SYSTEM
  ibrav = 0, nat = 8, ntyp = 4
/
ATOMIC_SPECIES
Mg 24.30 Mg.upf
Zn 65.41 Zn.upf
O 16.00 O.upf
Be 9.01 Be.upf
ATOMIC_POSITIONS crystal
Mg 0.000 0.000 0.000
Zn 0.500 0.500 0.000
O 0.901 0.397 0.298
O 0.397 0.901 0.298
Be 0.250 0.750 0.500
O 0.099 0.099 0.702
Be 0.750 0.250 0.500
O 0.603 0.603 0.702
CELL_PARAMETERS angstrom
-0.686 -3.401 2.276
-0.918 -2.121 -3.446
5.003 1.630 0.161
```


14.
MgBe2Os: optimized geometry, PBE. Values from VASP.

Computed properties:
**Final energy**: -4.7886 eV/atom
**Density of states at the Fermi level**: 2.3 states/eV per cell
**Symmetry**: R-3m
**Energy of formation**: 1.122 eV/f.u.

```
&SYSTEM
  ibrav = 0, nat = 4, ntyp = 3
/
ATOMIC_SPECIES
Be 9.01 Be.upf
Os 190.23 Os.upf
Mg 24.30 Mg.upf
ATOMIC_POSITIONS crystal
Be 0.010 0.010 0.010
Os 0.750 0.750 0.750
Mg 0.250 0.250 0.250
Be 0.490 0.490 0.490
CELL_PARAMETERS angstrom
-1.891 6.128 -5.215
-0.863 4.294 -7.010
-3.512 4.135 -6.236
```


15.
MgBe17Os: optimized geometry, PBE. Values from VASP.

Computed properties:
**Final energy**: -4.0705 eV/atom
**Density of states at the Fermi level**: 2.5 states/eV per cell
**Symmetry**: R3m
**Energy of formation**: -1.170 eV/f.u.

```
&SYSTEM
  ibrav = 0, nat = 19, ntyp = 3
/
ATOMIC_SPECIES
Be 9.01 Be.upf
Os 190.23 Os.upf
Mg 24.30 Mg.upf
ATOMIC_POSITIONS crystal
Be 0.001 0.503 0.001
Be 0.903 0.903 0.903
Be 0.649 0.649 0.169
Be 0.649 0.169 0.649
Be 0.006 0.297 0.697
Be 0.297 0.697 0.006
Os 0.328 0.328 0.328
Be 0.697 0.006 0.297
Be 0.001 0.001 0.503
Be 0.169 0.649 0.649
Be 0.341 0.852 0.341
Mg 0.659 0.659 0.659
Be 0.341 0.341 0.852
Be 0.297 0.006 0.697
Be 0.006 0.697 0.297
Be 0.102 0.102 0.102
Be 0.697 0.297 0.006
Be 0.852 0.341 0.341
Be 0.503 0.001 0.001
CELL_PARAMETERS angstrom
5.494 0.037 0.690
0.613 5.460 0.690
0.042 0.037 5.537
```


16.
MgBe2Os: optimized geometry, PBE. Values from VASP.

Computed properties:
**Final energy**: -5.0098 eV/atom
**Density of states at the Fermi level**: 1.6 states/eV per cell
**Symmetry**: Imm2
**Energy of formation**: 0.238 eV/f.u.

```
&SYSTEM
  ibrav = 0, nat = 4, ntyp = 3
/
ATOMIC_SPECIES
Mg 24.30 Mg.upf
Os 190.23 Os.upf
Be 9.01 Be.upf
ATOMIC_POSITIONS crystal
Mg 0.500 0.500 0.000
Os 0.239 0.739 0.500
Be 0.993 0.993 0.000
Be 0.767 0.267 0.500
CELL_PARAMETERS angstrom
4.749 0.018 -0.038
2.279 4.166 0.038
-3.343 -2.379 2.391
```


17.
MgBeOs: optimized geometry, PBE. Values from VASP.

Computed properties:
**Final energy**: -5.0719 eV/atom
**Density of states at the Fermi level**: 1.4 states/eV per cell
**Symmetry**: F-43m
**E above lowest polymorph**: 424 meV per atom
**Energy of formation**: 1.335 eV/f.u.

```
&SYSTEM
  ibrav = 0, nat = 3, ntyp = 3
/
ATOMIC_SPECIES
Be 9.01 Be.upf
Mg 24.30 Mg.upf
Os 190.23 Os.upf
ATOMIC_POSITIONS crystal
Be 0.750 0.750 0.750
Mg 0.000 0.000 0.000
Os 0.500 0.500 0.500
CELL_PARAMETERS angstrom
-3.381 -1.261 1.536
-2.852 -1.314 -2.350
-0.880 -3.821 -0.068
```


18.
MgBe2Os: optimized geometry, PBE. Values from VASP.

Computed properties:
**Final energy**: -4.7654 eV/atom
**Density of states at the Fermi level**: 1.0 states/eV per cell
**Symmetry**: Cmmm
**Energy of formation**: 1.215 eV/f.u.

```
&SYSTEM
  ibrav = 0, nat = 4, ntyp = 3
/
ATOMIC_SPECIES
Be 9.01 Be.upf
Mg 24.30 Mg.upf
Os 190.23 Os.upf
ATOMIC_POSITIONS crystal
Be 0.000 0.000 0.970
Be 0.000 0.000 0.530
Mg 0.500 0.500 0.250
Os 0.500 0.500 0.750
CELL_PARAMETERS angstrom
-2.220 1.408 0.627
-0.514 -2.339 -1.251
-0.354 -3.701 7.066
```


19.
MgBeOs2: optimized geometry, PBE. Values from VASP.

Computed properties:
**Final energy**: -6.7395 eV/atom
**Density of states at the Fermi level**: 2.8 states/eV per cell
**Symmetry**: P2/m
**E above lowest polymorph**: 224 meV per atom
**Energy of formation**: 0.822 eV/f.u.

```
&SYSTEM
  ibrav = 0, nat = 4, ntyp = 3
/
ATOMIC_SPECIES
Os 190.23 Os.upf
Be 9.01 Be.upf
Mg 24.30 Mg.upf
ATOMIC_POSITIONS crystal
Os 0.000 0.057 0.022
Be 0.500 0.250 0.250
Os 0.000 0.443 0.478
Mg 0.500 0.750 0.750
CELL_PARAMETERS angstrom
-2.193 -1.646 3.023
0.877 -2.490 -0.720
4.100 -0.269 2.827
```


20.
MgBeOs2: optimized geometry, PBE. Values from VASP.

Computed properties:
**Final energy**: -6.4983 eV/atom
**Density of states at the Fermi level**: 3.6 states/eV per cell
**Symmetry**: Cmm2
**E above lowest polymorph**: 465 meV per atom
**Energy of formation**: 1.787 eV/f.u.

```
&SYSTEM
  ibrav = 0, nat = 4, ntyp = 3
/
ATOMIC_SPECIES
Mg 24.30 Mg.upf
Os 190.23 Os.upf
Be 9.01 Be.upf
ATOMIC_POSITIONS crystal
Mg 0.500 0.500 0.741
Os 0.000 0.000 0.009
Be 0.000 0.000 0.481
Os 0.500 0.500 0.269
CELL_PARAMETERS angstrom
2.702 0.001 0.000
-1.169 2.435 0.000
0.000 0.000 8.669
```